Compound: K3PrDy2S6
Source: Alexandria via LeMat-Bulk
Functional: PBE
Structure: optimized geometry

```
K3PrDy2S6
1.0
7.121 -0.001 0.000
-3.560 6.168 0.000
-1.188 -2.057 7.386
K S Dy Pr
3 6 2 1
direct
0.834 0.166 0.500
0.500 0.500 0.500
0.166 0.834 0.500
0.411 0.068 0.204
0.725 0.725 0.204
0.068 0.411 0.204
0.275 0.275 0.796
0.589 0.932 0.796
0.932 0.589 0.796
0.667 0.333 0.000
0.333 0.667 0.000
0.000 0.000 0.000
```

Output
The formation energy from raw total energies comes out at -1.8697 eV per atom. As for the space group: No. 12. As for the density of states at the Fermi level: 0.00 states/eV/f.u.

---

Compound: Hf2Ga2Co3
Source: Alexandria via LeMat-Bulk
Functional: PBE
Structure: optimized geometry

```
Hf2Ga2Co3
1.0
4.147 -0.083 -1.457
-2.305 3.800 -0.003
-0.757 -0.459 7.105
Co Ga Hf
3 2 2
direct
0.590 0.795 0.259
0.410 0.205 0.741
0.000 0.000 0.000
0.360 0.180 0.387
0.640 0.820 0.613
0.823 0.412 0.162
0.177 0.588 0.838
```

Output
Its energy of formation from the pure elements is -39.4 kJ/mol of atoms. As for the space group: No. 12. As for the density of states at the Fermi level: 3.00 states/eV/f.u.

---

Compound: Ca2Zn15Cd2
Source: Alexandria via LeMat-Bulk
Functional: PBE
Structure: optimized geometry

```
Ca2Zn15Cd2
1.0
6.943 -0.049 -0.044
0.852 6.891 -0.044
0.852 0.748 6.850
Zn Ca Cd
15 2 2
direct
0.000 0.500 0.000
0.000 0.697 0.303
0.353 0.353 0.835
0.000 0.000 0.500
0.353 0.835 0.353
0.500 0.000 0.000
0.000 0.303 0.697
0.303 0.697 0.000
0.165 0.647 0.647
0.697 0.000 0.303
0.303 0.000 0.697
0.647 0.647 0.165
0.697 0.303 0.000
0.647 0.165 0.647
0.835 0.353 0.353
0.656 0.656 0.656
0.344 0.344 0.344
0.108 0.108 0.108
0.892 0.892 0.892
```

Output
Its energy of formation from the pure elements is -15.8 kJ/mol of atoms. As for the space group: No. 166. As for the density of states at the Fermi level: 5.03 states/eV/f.u.

---

Compound: AcPbAuO4
Source: Alexandria via LeMat-Bulk
Functional: PBE
Structure: optimized geometry

```
AcPbAuO4
1.0
6.387 0.000 0.153
0.000 5.083 0.000
-2.325 0.000 7.679
O Au Pb Ac
8 2 2 2
direct
0.451 0.750 0.112
0.998 0.511 0.689
0.549 0.250 0.888
0.457 0.750 0.621
0.543 0.250 0.379
0.002 0.489 0.311
0.002 0.011 0.311
0.998 0.989 0.689
0.166 0.750 0.202
0.834 0.250 0.798
0.361 0.250 0.105
0.639 0.750 0.895
0.730 0.750 0.433
0.270 0.250 0.567
```

Output
The formation energy from raw total energies comes out at -1.2899 eV per atom. As for the space group: No. 11. As for the density of states at the Fermi level: 3.99 states/eV/f.u.

---

Compound: CsAlSnTe3
Source: Alexandria via LeMat-Bulk
Functional: PBE
Structure: optimized geometry

```
CsAlSnTe3
1.0
-2.636 3.414 -1.474
2.649 -2.280 -10.021
-9.080 -5.700 3.037
Sn Te Al Cs
2 6 2 2
direct
0.750 0.346 0.880
0.250 0.654 0.120
0.750 0.892 0.137
0.250 0.529 0.838
0.750 0.175 0.545
0.250 0.825 0.455
0.750 0.471 0.162
0.250 0.108 0.863
0.750 0.921 0.373
0.250 0.079 0.627
0.250 0.214 0.231
0.750 0.786 0.769
```

Output
The formation energy from raw total energies comes out at -0.5704 eV per atom. As for the space group: No. 11. As for the density of states at the Fermi level: 1.97 states/eV/f.u.

---

Compound: ScCr2Hg
Source: Alexandria via LeMat-Bulk
Functional: PBE
Structure: optimized geometry

```
ScCr2Hg
1.0
7.460 0.000 0.000
0.000 7.460 0.000
3.730 3.730 2.923
Cr Hg Sc
4 2 2
direct
0.375 0.364 0.750
0.114 0.625 0.250
0.875 0.886 0.750
0.636 0.125 0.250
0.000 0.000 0.000
0.750 0.250 0.500
0.250 0.750 0.500
0.500 0.500 0.000
```

Output
Its energy of formation from the pure elements is 70.2 kJ/mol of atoms. As for the space group: No. 122. As for the density of states at the Fermi level: 3.50 states/eV/f.u.

---

Compound: Tm3Cu3Pt
Source: Alexandria via LeMat-Bulk
Functional: PBE
Structure: optimized geometry

```
Tm3Cu3Pt
1.0
-3.176 -2.155 -0.671
2.979 -2.088 3.914
-7.140 7.571 9.473
Cu Tm Pt
6 6 2
direct
0.742 0.484 0.750
0.114 0.228 0.105
0.886 0.772 0.895
0.258 0.516 0.250
0.114 0.228 0.395
0.886 0.772 0.605
0.453 0.905 0.750
0.830 0.660 0.406
0.830 0.660 0.094
0.170 0.340 0.594
0.547 0.095 0.250
0.170 0.340 0.906
0.500 0.000 0.500
0.500 0.000 0.000
```

Output
Its energy of formation from the pure elements is -50.9 kJ/mol of atoms. As for the space group: No. 63. As for the density of states at the Fermi level: 4.88 states/eV/f.u.

---

Compound: ZrScMnRe
Source: Alexandria via LeMat-Bulk
Functional: PBE
Structure: optimized geometry

```
ZrScMnRe
1.0
-2.034 -2.743 -3.156
2.540 -3.076 -2.389
-0.471 -4.550 0.833
Zr Mn Sc Re
1 1 1 1
direct
0.500 0.500 0.500
0.750 0.750 0.750
0.000 0.000 0.000
0.250 0.250 0.250
```

Output
Its energy of formation from the pure elements is -4.2 kJ/mol of atoms. As for the space group: No. 216. As for the density of states at the Fermi level: 4.22 states/eV/f.u.

---

Compound: Ho2Ga2Ag
Source: Alexandria via LeMat-Bulk
Functional: PBE
Structure: optimized geometry

```
Ho2Ga2Ag
1.0
4.430 0.000 0.000
2.215 5.366 -0.391
2.215 0.134 9.300
Ho Ga Ag
4 4 2
direct
0.318 0.691 0.673
0.922 0.259 0.897
0.682 0.309 0.327
0.078 0.741 0.103
0.935 0.698 0.431
0.360 0.170 0.111
0.640 0.830 0.889
0.065 0.302 0.569
0.373 0.904 0.349
0.627 0.096 0.651
```

Output
Its energy of formation from the pure elements is -51.7 kJ/mol of atoms. As for the space group: No. 12. As for the density of states at the Fermi level: 2.62 states/eV/f.u.

---

Compound: MgRu2
Source: Alexandria via LeMat-Bulk
Functional: PBE
Structure: optimized geometry

```
MgRu2
1.0
6.012 0.008 0.000
4.672 3.784 0.000
-5.342 -1.896 2.003
Ru Mg
2 1
direct
0.655 0.655 0.000
0.011 0.011 0.000
0.333 0.333 0.000
```

Output
Its energy of formation from the pure elements is 2.7 kJ/mol of atoms. As for the space group: No. 139. As for the density of states at the Fermi level: 3.21 states/eV/f.u.

---

Compound: Sm4Ge2H
Source: Alexandria via LeMat-Bulk
Functional: PBE
Structure: optimized geometry

```
Sm4Ge2H
1.0
4.517 0.000 0.000
0.000 4.517 0.000
2.259 2.259 8.196
Sm Ge H
4 2 1
direct
0.182 0.182 0.636
0.818 0.818 0.364
0.500 0.000 0.000
0.000 0.500 0.000
0.635 0.635 0.730
0.365 0.365 0.270
0.000 0.000 0.000
```

Output
As for the space group: No. 139. The value obtained for the energy above the most stable polymorph in this dataset is 13 meV/atom. As for the density of states at the Fermi level: 6.00 states/eV/f.u.

---

Compound: HgTeAu2
Source: Alexandria via LeMat-Bulk
Functional: PBE
Structure: optimized geometry

```
HgTeAu2
1.0
3.505 -0.006 0.000
-1.484 3.175 0.000
0.000 0.000 8.500
Te Hg Au
1 1 2
direct
0.500 0.500 0.750
0.500 0.500 0.250
0.000 0.000 0.005
0.000 0.000 0.495
```

Output
The formation energy from raw total energies comes out at 0.2178 eV per atom. As for the space group: No. 65. The value obtained for the energy above the most stable polymorph in this dataset is 184 meV/atom. As for the density of states at the Fermi level: 1.87 states/eV/f.u.

---

Compound: BaSrIn2
Source: Alexandria via LeMat-Bulk
Functional: PBE
Structure: optimized geometry

```
BaSrIn2
1.0
-0.667 1.674 -8.827
-3.064 -2.541 -8.082
-5.261 1.735 -7.104
Sr In Ba
1 2 1
direct
0.537 0.537 0.537
0.276 0.276 0.276
0.969 0.969 0.969
0.718 0.718 0.718
```

Output
Its energy of formation from the pure elements is -28.2 kJ/mol of atoms. As for the space group: No. 160. As for the density of states at the Fermi level: 2.27 states/eV/f.u.

---

Compound: KMg3Si2
Source: Alexandria via LeMat-Bulk
Functional: PBE
Structure: optimized geometry

```
KMg3Si2
1.0
-3.702 2.509 -0.805
-7.246 -6.056 1.627
-4.616 -0.378 7.227
Mg Si K
6 4 2
direct
0.402 0.695 0.501
0.322 0.427 0.929
0.678 0.573 0.071
0.032 0.666 0.269
0.598 0.305 0.499
0.968 0.334 0.731
0.171 0.360 0.298
0.829 0.640 0.702
0.521 0.846 0.112
0.479 0.154 0.888
0.158 0.931 0.753
0.842 0.069 0.247
```

Output
The formation energy from raw total energies comes out at -0.0749 eV per atom. As for the space group: No. 12. As for the density of states at the Fermi level: 0.56 states/eV/f.u.

---

Compound: Sc6NiBi2
Source: Alexandria via LeMat-Bulk
Functional: PBE
Structure: optimized geometry

```
Sc6NiBi2
1.0
6.257 0.000 0.000
0.000 6.257 0.000
0.000 0.000 13.433
Bi Sc Ni
4 12 2
direct
0.000 0.000 0.319
0.000 0.000 0.681
0.500 0.500 0.181
0.500 0.500 0.819
0.212 0.788 0.500
0.817 0.183 0.131
0.817 0.183 0.869
0.683 0.683 0.631
0.183 0.817 0.869
0.788 0.212 0.500
0.712 0.712 0.000
0.183 0.817 0.131
0.288 0.288 0.000
0.317 0.317 0.369
0.317 0.317 0.631
0.683 0.683 0.369
0.000 0.000 0.000
0.500 0.500 0.500
```

Output
Its energy of formation from the pure elements is -8.6 kJ/mol of atoms. As for the space group: No. 136. As for the density of states at the Fermi level: 10.25 states/eV/f.u.

---

Compound: GaHg2Bi
Source: Alexandria via LeMat-Bulk
Functional: PBE
Structure: optimized geometry

```
GaHg2Bi
1.0
-1.671 1.263 2.978
-2.709 -1.905 1.514
4.590 -4.631 6.764
Hg Bi Ga
2 1 1
direct
0.260 0.260 0.221
0.073 0.073 0.780
0.501 0.501 0.498
0.666 0.666 0.001
```

Output
Its energy of formation from the pure elements is 8.1 kJ/mol of atoms. As for the space group: No. 160. The value obtained for the energy above the most stable polymorph in this dataset is 0 meV/atom. As for the density of states at the Fermi level: 1.74 states/eV/f.u.

---

Compound: TmSbRh2
Source: Alexandria via LeMat-Bulk
Functional: PBE
Structure: optimized geometry

```
TmSbRh2
1.0
3.717 0.000 0.000
0.000 4.429 0.000
0.000 0.000 4.429
Rh Sb Tm
2 1 1
direct
0.000 0.000 0.500
0.000 0.500 0.000
0.500 0.000 0.000
0.500 0.500 0.500
```

Output
The formation energy from raw total energies comes out at -0.7520 eV per atom. As for the space group: No. 123. As for the density of states at the Fermi level: 3.28 states/eV/f.u.

---

Compound: Co2Ir
Source: Alexandria via LeMat-Bulk
Functional: PBE
Structure: optimized geometry

```
Co2Ir
1.0
-0.608 -0.857 2.354
3.601 -1.562 0.362
5.180 13.378 6.208
Ir Co
4 8
direct
0.500 0.250 0.885
0.000 0.750 0.385
0.000 0.250 0.615
0.500 0.750 0.115
0.000 0.250 0.187
0.500 0.250 0.313
0.500 0.750 0.536
0.500 0.750 0.687
0.000 0.250 0.036
0.000 0.750 0.964
0.500 0.250 0.464
0.000 0.750 0.813
```

Output
Its energy of formation from the pure elements is 27.7 kJ/mol of atoms. As for the space group: No. 74. The value obtained for the energy above the most stable polymorph in this dataset is 269 meV/atom. As for the density of states at the Fermi level: 3.88 states/eV/f.u.

---

Compound: MnBeAs
Source: Alexandria via LeMat-Bulk
Functional: PBE
Structure: optimized geometry

```
MnBeAs
1.0
2.795 0.000 0.000
-1.397 2.421 0.000
0.000 0.000 5.623
Be Mn As
1 1 1
direct
0.333 0.667 0.361
0.667 0.333 0.662
0.000 0.000 0.977
```

Output
Its energy of formation from the pure elements is 28.3 kJ/mol of atoms. As for the space group: No. 156. The value obtained for the energy above the most stable polymorph in this dataset is 429 meV/atom. As for the density of states at the Fermi level: 2.18 states/eV/f.u.

---

Compound: Pu2TiCo3H12
Source: Alexandria via LeMat-Bulk
Functional: PBE
Structure: optimized geometry

```
Pu2TiCo3H12
1.0
5.771 -0.052 -0.037
2.805 5.044 -0.037
2.805 1.633 4.773
Ti H Pu Co
1 12 2 3
direct
0.000 0.000 0.000
0.397 0.880 0.880
0.120 0.603 0.120
0.311 0.311 0.863
0.689 0.689 0.137
0.603 0.120 0.120
0.120 0.120 0.603
0.880 0.880 0.397
0.689 0.137 0.689
0.863 0.311 0.311
0.311 0.863 0.311
0.137 0.689 0.689
0.880 0.397 0.880
0.387 0.387 0.387
0.613 0.613 0.613
0.500 0.000 0.000
0.000 0.500 0.000
0.000 0.000 0.500
```

Output
As for the space group: No. 166. The calculation puts the total DFT energy (no corrections) at -101.82 eV/cell. As for the density of states at the Fermi level: 21.97 states/eV/f.u.